1.
DFT (GGA-PBE) results for a relaxed structure of ZnRe2Pt.

Cell: 9.0462 9.0462 9.0462 Å, 17.73 17.73 17.73°
Last column: nearest neighbours and their distance in Å.
Sites, in units of the cell vectors:
Re1 0.2517 0.2517 0.2517  9 Re 2.65-2.79, 3 Zn 2.80
Zn1 0.4994 0.4994 0.4994  3 Pt 2.70, 6 Zn 2.79, 3 Re 2.80
Re2 0.9972 0.9972 0.9972  9 Re 2.65-2.79, 3 Pt 2.84
Pt1 0.7517 0.7517 0.7517  3 Zn 2.70, 6 Pt 2.79, 3 Re 2.84

Summary:
- M_tot: 0.00 μB per cell
- Formation energy: -100 meV per atom

2.
DFT (GGA-PBE) results for a relaxed structure of InPbCl.

Cell: 5.2284 5.2284 5.2284 Å, 60.00 60.00 60.00°
Last column: nearest neighbours and their distance in Å.
Sites, in units of the cell vectors:
Cl1 0.0000 0.0000 0.0000  4 Pb 3.20
In1 0.5000 0.5000 0.5000  4 Pb 3.20
Pb1 0.2500 0.2500 0.2500  4 Cl 3.20, 4 In 3.20

Summary:
- M_tot: 0.48 μB per cell
- Formation energy without anion corrections: -0.085 eV per atom

3.
DFT (GGA-PBE) results for a relaxed structure of Tb7Y2Tm2.

Cell: 6.0195 11.2845 8.0027 Å, 45.17 105.98 112.98°
Last column: nearest neighbours and their distance in Å.
Sites, in units of the cell vectors:
Tb1 0.0000 0.0000 0.0000  6 Tb 3.23-3.50
Tb2 0.4106 0.7649 0.0000  5 Tb 3.33-3.52, 3 Tm 3.43-3.66, 2 Y 3.50
Y1 0.5000 0.2163 0.5674  6 Tb 3.30-3.50, 2 Tm 3.64
Tb3 0.8257 0.0558 0.5348  4 Tb 3.16-3.52, 2 Y 3.30-3.45
Tb4 0.5894 0.2351 0.0000  5 Tb 3.33-3.52, 3 Tm 3.43-3.66, 2 Y 3.50
Tb5 0.8257 0.5906 0.4652  4 Tb 3.16-3.52, 2 Y 3.30-3.45
Tm1 0.8017 0.5850 0.0000  2 Tm 3.38-3.60, 7 Tb 3.43-3.73, 2 Y 3.64
Tm2 0.1983 0.4150 0.0000  2 Tm 3.38-3.60, 7 Tb 3.43-3.73, 2 Y 3.64
Y2 0.5000 0.7837 0.4326  6 Tb 3.30-3.50, 2 Tm 3.64
Tb6 0.1743 0.4094 0.5348  4 Tb 3.16-3.52, 2 Y 3.30-3.45
Tb7 0.1743 0.9442 0.4652  4 Tb 3.16-3.52, 2 Y 3.30-3.45

Summary:
- M_tot: 0.00 μB per cell
- Formation energy: 161 meV per atom

| no. | V (A^3/atom) |
| --- | --- |
| 1 | 15.0 |
| 2 | 33.7 |
| 3 | 32.3 |